This record from the Alexandria database describes an optimized crystal structure of Ti2BeReIr. The functional is PBE-GGA.

The value obtained for the density of states at the Fermi level is 1.049 states/eV/atom. Its total moment is 0.000 μB per formula unit. As for the final energy: -7.88 eV per atom. For the theoretical density, the calculation gives 10.808 Mg/m³. The symmetry is No. 123.

a b c (Å): 4.3152 3.9867 4.3152
angles (deg): 90.00 90.00 90.00
With the nearest neighbours (Å) after each atom.
Fractional positions:
Re1 0.0000 0.5000 0.0000  2 Be 1.99
Ir1 0.5000 0.5000 0.5000  8 Ti 2.94, 4 Re 3.05
Be1 0.0000 0.0000 0.0000  2 Re 1.99, 4 Ti 2.16
Ti1 0.0000 0.0000 0.5000  2 Be 2.16
Ti2 0.5000 0.0000 0.0000  2 Be 2.16